{
  "formula": "PuUZn",
  "functional": "GGA-PBE",
  "state": "relaxed",
  "magnetic_moment_mub_per_cell": 5.41,
  "sg": "F-43m (216)",
  "de_polymorph_ev_per_atom": 0.000,
  "lattice": [[3.1169, -3.1826, 1.1314], [-1.1333, -4.4536, -0.0705], [1.7408, -2.7634, -3.2338]],
  "species": ["Zn", "Pu", "U"],
  "frac_coords": [[0.2500, 0.2500, 0.2500], [0.0000, 0.0000, 0.0000], [0.7500, 0.7500, 0.7500]]
}

---

{
  "formula": "PuW",
  "functional": "GGA-PBE",
  "state": "relaxed",
  "magnetic_moment_mub_per_cell": 2.56,
  "sg": "P-6m2 (187)",
  "de_polymorph_ev_per_atom": 0.000,
  "lattice": [[2.6981, 0.0000, 0.0000], [-1.3490, 2.3360, 0.0000], [0.0000, 0.0000, 5.5372]],
  "species": ["Pu", "W"],
  "frac_coords": [[0.6667, 0.3333, 0.7500], [0.3333, 0.6667, 0.2500]]
}

---

{
  "formula": "PuW",
  "functional": "GGA-PBE",
  "state": "relaxed",
  "magnetic_moment_mub_per_cell": 3.29,
  "sg": "F-43m (216)",
  "de_polymorph_ev_per_atom": 1.510,
  "lattice": [[0.0000, 2.9166, 2.9166], [2.9166, 0.0000, 2.9166], [2.9166, 2.9166, 0.0000]],
  "species": ["W", "Pu"],
  "frac_coords": [[0.2500, 0.2500, 0.2500], [0.0000, 0.0000, 0.0000]]
}

---

{
  "formula": "Pu2W",
  "functional": "GGA-PBE",
  "state": "relaxed",
  "dft_energy_ev_per_cell": -70.3,
  "magnetic_moment_mub_per_cell": 20.03,
  "sg": "Fd-3m (227)",
  "lattice": [[2.7761, 5.8879, 5.1043], [6.7894, -1.3231, 4.5367], [7.0027, 4.0359, -1.7612]],
  "species": ["W", "Pu", "Pu", "W", "Pu", "Pu"],
  "frac_coords": [[0.2500, 0.2500, 0.2500], [0.3750, 0.3750, 0.3750], [0.3750, 0.3750, 0.8750], [0.5000, 0.5000, 0.5000], [0.3750, 0.8750, 0.3750], [0.8750, 0.3750, 0.3750]]
}

---

{
  "formula": "PuW",
  "functional": "GGA-PBE",
  "state": "relaxed",
  "magnetic_moment_mub_per_cell": 3.86,
  "sg": "Fm-3m (225)",
  "de_polymorph_ev_per_atom": 0.645,
  "lattice": [[0.0000, 2.7679, 2.7679], [2.7679, 0.0000, 2.7679], [2.7679, 2.7679, 0.0000]],
  "species": ["W", "Pu"],
  "frac_coords": [[0.5000, 0.5000, 0.5000], [0.0000, 0.0000, 0.0000]]
}

---

{
  "formula": "PuZnW",
  "functional": "GGA-PBE",
  "state": "relaxed",
  "magnetic_moment_mub_per_cell": 3.51,
  "sg": "F-43m (216)",
  "de_polymorph_ev_per_atom": 0.409,
  "lattice": [[0.0000, 3.2013, 3.2013], [3.2013, 0.0000, 3.2013], [3.2013, 3.2013, 0.0000]],
  "species": ["W", "Pu", "Zn"],
  "frac_coords": [[0.7500, 0.7500, 0.7500], [0.0000, 0.0000, 0.0000], [0.2500, 0.2500, 0.2500]]
}